[1]
Here is a relaxed structure of RbCeGaO4 from the Alexandria database. Energies are from PBE-GGA.

a b c (Å): 5.703 5.953 8.351
angles (deg): 90.00 117.04 90.00
Positions (direct):
Rb 0.544 0.750 0.902
Rb 0.456 0.250 0.098
Ce 0.778 0.750 0.469
Ce 0.222 0.250 0.531
Ga 0.192 0.750 0.318
Ga 0.808 0.250 0.682
O 0.026 0.484 0.676
O 0.974 0.984 0.324
O 0.974 0.516 0.324
O 0.026 0.016 0.676
O 0.400 0.750 0.204
O 0.600 0.250 0.796
O 0.476 0.750 0.557
O 0.524 0.250 0.443

total DFT energy (no corrections) = -0.243 hartree per atom
SG = P2_1/m (11)
ΔE_f (raw) = -2.374 eV/atom


[2]
Here is a relaxed structure of CeGa2ReO8 from the Alexandria database. Energies are from PBE-GGA.

a b c (Å): 4.711 4.708 6.468
angles (deg): 90.00 90.00 89.29
Positions (direct):
Ce 0.000 0.000 0.500
Ga 0.500 0.500 0.750
Ga 0.500 0.500 0.250
Re 0.000 0.000 0.000
O 0.205 0.794 0.215
O 0.714 0.715 0.000
O 0.795 0.206 0.215
O 0.795 0.206 0.785
O 0.286 0.285 0.000
O 0.205 0.794 0.785
O 0.680 0.681 0.500
O 0.320 0.319 0.500

total DFT energy (no corrections) = -0.270 hartree per atom
SG = Cmmm (65)
ΔE_f (raw) = -2.005 eV/atom


[3]
Here is a relaxed structure of CeGa2RuO8 from the Alexandria database. Energies are from PBE-GGA.

a b c (Å): 4.722 4.711 6.405
angles (deg): 90.00 90.00 90.22
Positions (direct):
Ce 0.000 0.000 0.500
Ga 0.500 0.500 0.756
Ga 0.500 0.500 0.244
Ru 0.000 0.000 0.000
O 0.202 0.796 0.215
O 0.703 0.705 0.000
O 0.798 0.204 0.215
O 0.798 0.204 0.785
O 0.297 0.295 0.000
O 0.202 0.796 0.785
O 0.679 0.681 0.500
O 0.321 0.319 0.500

total DFT energy (no corrections) = -0.250 hartree per atom
SG = P2/m (10)
ΔE_f (raw) = -1.738 eV/atom


[4]
Here is a relaxed structure of SrCeGaO5 from the Alexandria database. Energies are from PBE-GGA.

a b c (Å): 6.095 6.095 7.909
angles (deg): 102.32 102.32 108.74
Positions (direct):
Sr 0.338 0.662 0.250
Sr 0.662 0.338 0.750
Ce 0.000 0.000 0.500
Ce 0.000 0.000 0.000
Ga 0.682 0.318 0.250
Ga 0.318 0.682 0.750
O 0.087 0.913 0.250
O 0.913 0.087 0.750
O 0.908 0.321 0.124
O 0.092 0.679 0.876
O 0.679 0.092 0.376
O 0.321 0.908 0.624
O 0.731 0.615 0.414
O 0.269 0.385 0.586
O 0.385 0.269 0.086
O 0.615 0.731 0.914

total DFT energy (no corrections) = -0.253 hartree per atom
SG = C2/c (15)
ΔE_f (raw) = -2.447 eV/atom


[5]
Here is a relaxed structure of Sr2CeGaO6 from the Alexandria database. Energies are from PBE-GGA.

a b c (Å): 5.849 5.888 8.278
angles (deg): 90.00 90.48 90.00
Positions (direct):
Sr 0.010 0.965 0.249
Sr 0.510 0.535 0.749
Sr 0.990 0.035 0.751
Sr 0.490 0.465 0.251
Ce 0.500 0.000 0.000
Ce 0.000 0.500 0.500
Ga 0.500 0.000 0.500
Ga 0.000 0.500 0.000
O 0.272 0.706 0.039
O 0.772 0.794 0.539
O 0.728 0.294 0.961
O 0.228 0.206 0.461
O 0.298 0.728 0.460
O 0.798 0.772 0.960
O 0.702 0.272 0.540
O 0.202 0.228 0.040
O 0.925 0.520 0.237
O 0.425 0.980 0.737
O 0.075 0.480 0.763
O 0.575 0.020 0.263

total DFT energy (no corrections) = -0.248 hartree per atom
SG = P2_1/c (14)
ΔE_f (raw) = -2.545 eV/atom


[6]
Here is a relaxed structure of CeTaGa2O8 from the Alexandria database. Energies are from PBE-GGA.

a b c (Å): 4.712 4.712 6.565
angles (deg): 90.00 90.00 89.59
Positions (direct):
Ce 0.000 0.000 0.500
Ta 0.000 0.000 0.000
Ga 0.500 0.500 0.767
Ga 0.500 0.500 0.233
O 0.202 0.798 0.223
O 0.698 0.698 0.000
O 0.798 0.202 0.223
O 0.798 0.202 0.777
O 0.302 0.302 0.000
O 0.202 0.798 0.777
O 0.674 0.674 0.500
O 0.326 0.326 0.500

total DFT energy (no corrections) = -0.279 hartree per atom
SG = Cmmm (65)
ΔE_f (raw) = -2.289 eV/atom


[7]
Here is a relaxed structure of CeGa2TcO8 from the Alexandria database. Energies are from PBE-GGA.

a b c (Å): 4.706 4.704 6.445
angles (deg): 90.00 90.00 89.73
Positions (direct):
Ce 0.000 0.000 0.500
Ga 0.500 0.500 0.754
Ga 0.500 0.500 0.246
Tc 0.000 0.000 0.000
O 0.204 0.796 0.215
O 0.709 0.710 0.000
O 0.796 0.204 0.215
O 0.796 0.204 0.785
O 0.291 0.290 0.000
O 0.204 0.796 0.785
O 0.680 0.681 0.500
O 0.320 0.319 0.500

total DFT energy (no corrections) = -0.260 hartree per atom
SG = Cmmm (65)
ΔE_f (raw) = -1.917 eV/atom


[8]
Here is a relaxed structure of CeUGa2O8 from the Alexandria database. Energies are from PBE-GGA.

a b c (Å): 4.775 4.774 7.215
angles (deg): 84.63 84.63 83.79
Positions (direct):
Ce 0.000 0.000 0.500
U 0.000 0.000 0.000
Ga 0.456 0.456 0.707
Ga 0.544 0.544 0.293
O 0.214 0.797 0.240
O 0.725 0.724 0.056
O 0.797 0.213 0.240
O 0.786 0.203 0.760
O 0.275 0.276 0.944
O 0.203 0.787 0.760
O 0.683 0.683 0.505
O 0.317 0.317 0.495

total DFT energy (no corrections) = -0.287 hartree per atom
SG = C2/m (12)
ΔE_f (raw) = -2.556 eV/atom


- Among the records above, which one has the lowest total DFT energy (no corrections)?
  CeUGa2O8